This record from Alexandria via LeMat-Bulk describes an optimized crystal structure of Zr3AsP. The functional is PBE.

Summary:
The formation energy from the elements is 26.04 kJ per mole of atoms. The electronic total energy is -34.4 eV/cell. Its space group is No. 221. For the density of states at the Fermi level, the calculation gives 7.056 states/eV/cell.

Cell and atoms, written as CIF:
```
data_Zr3AsP
_space_group_name_H-M_alt 'P 1'
_space_group_IT_number 1
_cell_length_a 4.971
_cell_length_b 4.971
_cell_length_c 4.971
_cell_angle_alpha 90.00
_cell_angle_beta 90.00
_cell_angle_gamma 90.00
loop_
_space_group_symop_operation_xyz
'x,y,z'
loop_
_atom_site_label
_atom_site_type_symbol
_atom_site_fract_x
_atom_site_fract_y
_atom_site_fract_z
Zr1 Zr 0.000 0.000 0.500
Zr2 Zr 0.000 0.500 0.000
Zr3 Zr 0.500 0.000 0.000
As1 As 0.000 0.000 0.000
P1 P 0.500 0.500 0.500
```